First-principles (GGA+U) data for a relaxed structure of MnIrF2, as listed in Alexandria via LeMat-Bulk.

Cell and atoms, written as extended XYZ:
```
4
Lattice="-3.439 -5.644 3.594 -3.745 -6.465 0.879 -1.329 -7.045 2.281" Properties=species:S:1:pos:R:3 pbc="T T T"
Ir 0.000 0.000 0.000
Mn -4.257 -9.577 3.377
F -7.688 -17.297 6.099
F -0.825 -1.857 0.655
```

Values from the calculation:
ρ: 9.15 g/cm3
offset from the most stable computed form: 0 meV per atom